DFT (PBE-GGA) results for SrMnCl4 after structural relaxation.

a b c (Å): 7.068 7.068 6.400
angles (deg): 90.00 90.00 90.00
Positions (direct):
Sr 0.250 0.250 0.000
Sr 0.750 0.750 0.000
Mn 0.250 0.750 0.500
Mn 0.750 0.250 0.500
Cl 0.071 0.571 0.250
Cl 0.071 0.929 0.750
Cl 0.429 0.571 0.750
Cl 0.429 0.929 0.250
Cl 0.571 0.071 0.750
Cl 0.571 0.429 0.250
Cl 0.929 0.071 0.250
Cl 0.929 0.429 0.750

Output
- size of the total moment (Bohr magnetons per cell) = 10.00
- formation energy without anion corrections (eV/f.u.) = -10.60

DFT (PBE-GGA) results for SrMn2Cl after structural relaxation.

a b c (Å): 5.340 5.340 5.340
angles (deg): 60.00 60.00 60.00
Positions (direct):
Sr 0.000 0.000 0.000
Mn 0.250 0.250 0.250
Mn 0.750 0.750 0.750
Cl 0.500 0.500 0.500

Output
- size of the total moment (Bohr magnetons per cell) = 9.01
- E above lowest polymorph (eV per atom) = 0.766
- formation energy without anion corrections (eV/f.u.) = 2.74

DFT (PBE-GGA) results for SrMnCl6 after structural relaxation.

a b c (Å): 6.986 6.986 6.986
angles (deg): 55.02 55.02 55.02
Positions (direct):
Sr 0.000 0.000 0.000
Mn 0.500 0.500 0.500
Cl 0.119 0.463 0.696
Cl 0.304 0.881 0.537
Cl 0.463 0.696 0.119
Cl 0.537 0.304 0.881
Cl 0.696 0.119 0.463
Cl 0.881 0.537 0.304

Output
- size of the total moment (Bohr magnetons per cell) = 2.93
- E above lowest polymorph (eV per atom) = 0.000
- formation energy without anion corrections (eV/f.u.) = -11.11

DFT (PBE-GGA) results for SrMnCl5 after structural relaxation.

a b c (Å): 6.707 6.707 9.519
angles (deg): 102.75 102.75 95.82
Positions (direct):
Sr 0.063 0.937 0.750
Sr 0.937 0.063 0.250
Mn 0.000 0.500 0.000
Mn 0.500 0.000 0.500
Cl 0.191 0.238 0.053
Cl 0.225 0.775 0.250
Cl 0.227 0.601 0.877
Cl 0.238 0.191 0.553
Cl 0.399 0.773 0.623
Cl 0.601 0.227 0.377
Cl 0.762 0.809 0.447
Cl 0.773 0.399 0.123
Cl 0.775 0.225 0.750
Cl 0.809 0.762 0.947

Output
- size of the total moment (Bohr magnetons per cell) = 8.00
- E above lowest polymorph (eV per atom) = 0.000
- formation energy without anion corrections (eV/f.u.) = -11.04

DFT (PBE-GGA) results for SrMn2Cl6 after structural relaxation.

a b c (Å): 9.185 9.185 7.210
angles (deg): 100.77 100.77 85.61
Positions (direct):
Sr 0.118 0.882 0.750
Sr 0.882 0.118 0.250
Mn 0.224 0.381 0.734
Mn 0.381 0.224 0.234
Mn 0.619 0.776 0.766
Mn 0.776 0.619 0.266
Cl 0.051 0.186 0.642
Cl 0.117 0.604 0.869
Cl 0.186 0.051 0.142
Cl 0.295 0.428 0.449
Cl 0.396 0.883 0.631
Cl 0.428 0.295 0.949
Cl 0.572 0.705 0.051
Cl 0.604 0.117 0.369
Cl 0.705 0.572 0.551
Cl 0.814 0.949 0.858
Cl 0.883 0.396 0.131
Cl 0.949 0.814 0.358

Output
- size of the total moment (Bohr magnetons per cell) = 20.00
- formation energy without anion corrections (eV/f.u.) = -13.63

DFT (PBE-GGA) results for SrMn2Cl after structural relaxation.

a b c (Å): 3.678 3.678 8.600
angles (deg): 90.00 90.00 90.00
Positions (direct):
Sr 0.000 0.000 0.000
Mn 0.000 0.000 0.618
Mn 0.500 0.500 0.719
Cl 0.500 0.500 0.165

Output
- size of the total moment (Bohr magnetons per cell) = 8.39
- E above lowest polymorph (eV per atom) = 0.022
- formation energy without anion corrections (eV/f.u.) = -0.24

DFT (PBE-GGA) results for SrMnCl2 after structural relaxation.

a b c (Å): 10.778 10.778 10.778
angles (deg): 22.71 22.71 22.71
Positions (direct):
Sr 0.000 0.000 0.000
Mn 0.500 0.500 0.500
Cl 0.381 0.381 0.381
Cl 0.619 0.619 0.619

Output
- size of the total moment (Bohr magnetons per cell) = 5.00
- E above lowest polymorph (eV per atom) = 0.000
- formation energy without anion corrections (eV/f.u.) = -3.92

DFT (PBE-GGA) results for SrMnCl2 after structural relaxation.

a b c (Å): 3.603 3.603 8.586
angles (deg): 90.00 90.00 90.00
Positions (direct):
Sr 0.000 0.000 0.000
Mn 0.500 0.500 0.688
Cl 0.000 0.000 0.560
Cl 0.500 0.500 0.175

Output
- size of the total moment (Bohr magnetons per cell) = 4.66
- E above lowest polymorph (eV per atom) = 0.052
- formation energy without anion corrections (eV/f.u.) = -3.71

DFT (PBE-GGA) results for SrMn2Cl after structural relaxation.

a b c (Å): 6.178 6.178 3.602
angles (deg): 90.00 90.00 126.77
Positions (direct):
Sr 0.000 0.000 0.000
Mn 0.000 0.500 0.500
Mn 0.500 0.000 0.500
Cl 0.500 0.500 0.000

Output
- size of the total moment (Bohr magnetons per cell) = 8.71
- E above lowest polymorph (eV per atom) = 0.356
- formation energy without anion corrections (eV/f.u.) = 1.10

DFT (PBE-GGA) results for SrMn4Cl after structural relaxation.

a b c (Å): 5.613 5.613 5.613
angles (deg): 60.00 60.00 60.00
Positions (direct):
Sr 0.000 0.000 0.000
Mn 0.372 0.372 0.372
Mn 0.372 0.372 0.885
Mn 0.372 0.885 0.372
Mn 0.885 0.372 0.372
Cl 0.750 0.750 0.750

Output
- size of the total moment (Bohr magnetons per cell) = 15.36
- formation energy without anion corrections (eV/f.u.) = 3.45

DFT (PBE-GGA) results for SrMnCl2 after structural relaxation.

a b c (Å): 7.692 7.692 7.692
angles (deg): 133.63 133.63 67.67
Positions (direct):
Sr 0.000 0.000 0.000
Sr 0.750 0.250 0.500
Mn 0.250 0.750 0.500
Mn 0.500 0.500 0.000
Cl 0.195 0.625 0.070
Cl 0.375 0.445 0.570
Cl 0.555 0.125 0.930
Cl 0.875 0.805 0.430

Output
- size of the total moment (Bohr magnetons per cell) = 6.60
- E above lowest polymorph (eV per atom) = 0.188
- formation energy without anion corrections (eV/f.u.) = -3.17

DFT (PBE-GGA) results for SrMn2Cl after structural relaxation.

a b c (Å): 13.122 13.122 13.122
angles (deg): 162.53 162.53 24.81
Positions (direct):
Sr 0.000 0.000 0.000
Sr 0.750 0.250 0.500
Mn 0.123 0.625 0.998
Mn 0.375 0.373 0.498
Mn 0.627 0.125 0.002
Mn 0.875 0.877 0.502
Cl 0.250 0.750 0.500
Cl 0.500 0.500 0.000

Output
- size of the total moment (Bohr magnetons per cell) = 16.32
- E above lowest polymorph (eV per atom) = 0.101
- formation energy without anion corrections (eV/f.u.) = 0.08

DFT (PBE-GGA) results for SrMn2Cl after structural relaxation.

a b c (Å): 9.468 9.468 9.468
angles (deg): 21.34 21.34 21.34
Positions (direct):
Sr 0.000 0.000 0.000
Mn 0.236 0.236 0.236
Mn 0.764 0.764 0.764
Cl 0.500 0.500 0.500

Output
- size of the total moment (Bohr magnetons per cell) = 8.74
- E above lowest polymorph (eV per atom) = 0.467
- formation energy without anion corrections (eV/f.u.) = 1.54

DFT (PBE-GGA) results for SrMn2Cl after structural relaxation.

a b c (Å): 5.953 5.953 5.953
angles (deg): 146.92 117.81 72.28
Positions (direct):
Sr 0.000 0.000 0.000
Mn 0.450 0.450 0.000
Mn 0.667 0.167 0.500
Cl 0.257 0.757 0.500

Output
- size of the total moment (Bohr magnetons per cell) = 7.82
- E above lowest polymorph (eV per atom) = 0.290
- formation energy without anion corrections (eV/f.u.) = 0.83

DFT (PBE-GGA) results for Sr4Mn6Cl19 after structural relaxation.

a b c (Å): 9.665 9.665 9.665
angles (deg): 109.47 109.47 109.47
Positions (direct):
Sr 0.000 0.000 0.332
Sr 0.000 0.332 0.000
Sr 0.332 0.000 0.000
Sr 0.668 0.668 0.668
Mn 0.158 0.500 0.658
Mn 0.342 0.842 0.500
Mn 0.500 0.342 0.842
Mn 0.500 0.658 0.158
Mn 0.658 0.158 0.500
Mn 0.842 0.500 0.342
Cl 0.000 0.000 0.000
Cl 0.000 0.334 0.334
Cl 0.000 0.666 0.666
Cl 0.023 0.655 0.253
Cl 0.231 0.632 0.977
Cl 0.253 0.023 0.655
Cl 0.334 0.000 0.334
Cl 0.334 0.334 0.000
Cl 0.345 0.368 0.598
Cl 0.368 0.598 0.345
Cl 0.402 0.769 0.747
Cl 0.598 0.345 0.368
Cl 0.632 0.977 0.231
Cl 0.655 0.253 0.023
Cl 0.666 0.000 0.666
Cl 0.666 0.666 0.000
Cl 0.747 0.402 0.769
Cl 0.769 0.747 0.402
Cl 0.977 0.231 0.632

Output
- size of the total moment (Bohr magnetons per cell) = 29.00
- formation energy without anion corrections (eV/f.u.) = -44.95

DFT (PBE-GGA) results for SrMnCl2 after structural relaxation.

a b c (Å): 5.183 5.183 5.183
angles (deg): 60.00 60.00 60.00
Positions (direct):
Sr 0.000 0.000 0.000
Mn 0.500 0.500 0.500
Cl 0.250 0.250 0.250
Cl 0.750 0.750 0.750

Output
- size of the total moment (Bohr magnetons per cell) = 5.00
- E above lowest polymorph (eV per atom) = 0.158
- formation energy without anion corrections (eV/f.u.) = -3.28

DFT (PBE-GGA) results for SrMnCl2 after structural relaxation.

a b c (Å): 5.647 5.647 5.349
angles (deg): 116.13 116.13 98.66
Positions (direct):
Sr 0.000 0.000 0.000
Mn 0.500 0.500 0.000
Cl 0.000 0.500 0.500
Cl 0.500 0.000 0.500

Output
- size of the total moment (Bohr magnetons per cell) = 4.83
- E above lowest polymorph (eV per atom) = 0.151
- formation energy without anion corrections (eV/f.u.) = -3.31

DFT (PBE-GGA) results for SrMnCl2 after structural relaxation.

a b c (Å): 4.250 4.250 9.796
angles (deg): 92.80 92.80 59.98
Positions (direct):
Sr 0.000 0.000 0.000
Mn 0.500 0.500 0.500
Cl 0.322 0.322 0.846
Cl 0.678 0.678 0.154

Output
- size of the total moment (Bohr magnetons per cell) = 5.00
- E above lowest polymorph (eV per atom) = 0.007
- formation energy without anion corrections (eV/f.u.) = -3.89

DFT (PBE-GGA) results for SrMnCl3 after structural relaxation.

a b c (Å): 5.638 5.638 5.638
angles (deg): 90.00 90.00 90.00
Positions (direct):
Sr 0.000 0.000 0.000
Mn 0.500 0.500 0.500
Cl 0.000 0.000 0.500
Cl 0.000 0.500 0.000
Cl 0.500 0.000 0.000

Output
- size of the total moment (Bohr magnetons per cell) = 6.00
- E above lowest polymorph (eV per atom) = 0.150
- formation energy without anion corrections (eV/f.u.) = -5.51

DFT (PBE-GGA) results for SrMnCl2 after structural relaxation.

a b c (Å): 3.579 3.579 10.784
angles (deg): 90.00 90.00 90.00
Positions (direct):
Sr 0.000 0.000 0.000
Mn 0.000 0.000 0.500
Cl 0.500 0.500 0.151
Cl 0.500 0.500 0.849

Output
- size of the total moment (Bohr magnetons per cell) = 4.94
- E above lowest polymorph (eV per atom) = 0.060
- formation energy without anion corrections (eV/f.u.) = -3.68

DFT (PBE-GGA) results for SrMn2Cl after structural relaxation.

a b c (Å): 7.031 7.031 7.031
angles (deg): 146.92 146.92 47.48
Positions (direct):
Sr 0.000 0.000 0.000
Mn 0.250 0.750 0.500
Mn 0.750 0.250 0.500
Cl 0.500 0.500 0.000

Output
- size of the total moment (Bohr magnetons per cell) = 8.28
- E above lowest polymorph (eV per atom) = 0.122
- formation energy without anion corrections (eV/f.u.) = 0.16

DFT (PBE-GGA) results for SrMn2TlCl8 after structural relaxation.

a b c (Å): 6.764 6.764 9.621
angles (deg): 90.00 90.00 120.00
Positions (direct):
Sr 0.000 0.000 0.000
Mn 0.333 0.667 0.259
Mn 0.667 0.333 0.741
Tl 0.000 0.000 0.500
Cl 0.009 0.334 0.194
Cl 0.325 0.991 0.194
Cl 0.333 0.667 0.489
Cl 0.334 0.325 0.806
Cl 0.666 0.675 0.194
Cl 0.667 0.333 0.511
Cl 0.675 0.009 0.806
Cl 0.991 0.666 0.806

Output
- size of the total moment (Bohr magnetons per cell) = 9.00
- formation energy without anion corrections (eV/f.u.) = -15.84

DFT (PBE-GGA) results for SrMnTlCl2 after structural relaxation.

a b c (Å): 4.911 4.911 6.662
angles (deg): 90.00 90.00 90.00
Positions (direct):
Sr 0.000 0.000 0.000
Mn 0.000 0.000 0.500
Tl 0.500 0.500 0.000
Cl 0.000 0.500 0.500
Cl 0.500 0.000 0.500

Output
- size of the total moment (Bohr magnetons per cell) = 4.19
- formation energy without anion corrections (eV/f.u.) = -2.09

DFT (PBE-GGA) results for SrMn2Tl3Cl9 after structural relaxation.

a b c (Å): 7.319 7.319 9.538
angles (deg): 90.00 90.00 120.00
Positions (direct):
Sr 0.000 0.000 0.000
Mn 0.333 0.667 0.666
Mn 0.667 0.333 0.334
Tl 0.000 0.000 0.500
Tl 0.333 0.667 0.242
Tl 0.667 0.333 0.758
Cl 0.000 0.500 0.500
Cl 0.170 0.340 0.803
Cl 0.170 0.830 0.803
Cl 0.340 0.170 0.197
Cl 0.500 0.000 0.500
Cl 0.500 0.500 0.500
Cl 0.660 0.830 0.803
Cl 0.830 0.170 0.197
Cl 0.830 0.660 0.197

Output
- size of the total moment (Bohr magnetons per cell) = 10.00
- formation energy without anion corrections (eV/f.u.) = -19.68

DFT (PBE-GGA) results for SrMnTl2Cl6 after structural relaxation.

a b c (Å): 7.405 7.409 7.413
angles (deg): 61.85 61.89 61.86
Positions (direct):
Sr 0.000 0.000 0.000
Mn 0.500 0.500 0.500
Tl 0.272 0.272 0.272
Tl 0.728 0.728 0.728
Cl 0.190 0.343 0.720
Cl 0.279 0.810 0.658
Cl 0.343 0.721 0.190
Cl 0.657 0.279 0.810
Cl 0.721 0.190 0.342
Cl 0.810 0.657 0.280

Output
- size of the total moment (Bohr magnetons per cell) = 5.00
- formation energy without anion corrections (eV/f.u.) = -14.66